Compound: FeAs2RhI
Source: Alexandria
Functional: PBEsol
Structure: relaxed

a = 4.4830 Å, b = 5.2217 Å, c = 5.2217 Å
α = 90.00°, β = 90.00°, γ = 90.00°
With the nearest neighbours (Å) after each atom.
Fractional coordinates of all 5 atoms:
As1 0.0000 0.0000 0.5000  2 I 2.61
Rh1 0.5000 0.5000 0.5000  8 As 3.44, 4 Fe 3.69
As2 0.0000 0.5000 0.0000  2 I 2.61
Fe1 0.5000 0.0000 0.0000  2 I 2.24
I1 0.0000 0.0000 0.0000  2 Fe 2.24

Computed properties:
* calculated volume: 122 Å³/cell
* formation energy from raw total energies: 1.95 eV/atom
* spin magnetization: 0.469 μB per atom
* DOS(E_F): 6.96 states/eV/cell
* mass density: 5.9 g cm⁻³
* final energy: -3.87 eV/atom

***

Compound: MgCd4In
Source: Alexandria
Functional: PBEsol
Structure: relaxed

a = 5.7802 Å, b = 5.7802 Å, c = 5.7802 Å
α = 60.00°, β = 60.00°, γ = 60.00°
With the nearest neighbours (Å) after each atom.
Fractional coordinates of all 6 atoms:
Cd1 0.3747 0.8759 0.3747  6 Cd 2.88-2.90
In1 0.7500 0.7500 0.7500  12 Cd 3.39, 4 Mg 3.54
Cd2 0.3747 0.3747 0.8759  6 Cd 2.88-2.90
Mg1 0.0000 0.0000 0.0000  12 Cd 3.39, 4 In 3.54
Cd3 0.8759 0.3747 0.3747  6 Cd 2.88-2.90
Cd4 0.3747 0.3747 0.3747  6 Cd 2.88-2.90

Computed properties:
* calculated volume: 137 Å³/cell
* spin magnetization: 0.000 μB per atom
* DOS(E_F): 2.08 states/eV/cell
* mass density: 7.2 g cm⁻³
* final energy: -1.55 eV/atom
* formation enthalpy at 0 K: 2.6 kJ per mole of atoms

***

Compound: KV3Se2O12
Source: Alexandria
Functional: PBEsol
Structure: relaxed

a = 7.0640 Å, b = 7.0640 Å, c = 11.5681 Å
α = 90.00°, β = 90.00°, γ = 120.00°
With the nearest neighbours (Å) after each atom.
Fractional coordinates of all 36 atoms:
Se1 0.0000 0.0000 0.9357  3 O 1.73
O1 0.2506 0.1262 0.1832  1 V 1.67
O2 0.1959 0.4113 0.0520  1 Se 1.72
V1 0.1249 0.7917 0.2144  2 O 1.67
Se2 0.3333 0.6667 0.9892  3 O 1.72
O3 0.9187 0.4598 0.7371  1 V 1.67
O4 0.1352 0.8801 0.3705  1 Se 1.73, 1 V 1.90
O5 0.8801 0.7449 0.8705  1 Se 1.73, 1 V 1.90
V2 0.6668 0.8751 0.2144  2 O 1.67
Se3 0.0000 0.0000 0.4357  3 O 1.73
V3 0.7917 0.6668 0.7144  2 O 1.67
O6 0.8756 0.7494 0.1832  1 V 1.67
O7 0.7449 0.8648 0.3705  1 Se 1.73, 1 V 1.90
V4 0.2083 0.3332 0.2144  2 O 1.67
O8 0.7494 0.8738 0.6832  1 V 1.67
O9 0.7845 0.1959 0.5520  1 Se 1.72
O10 0.8738 0.1244 0.1832  1 V 1.67
V5 0.8751 0.2083 0.7144  2 O 1.67
O11 0.5887 0.7845 0.0520  1 Se 1.72
O12 0.2155 0.8041 0.0520  1 Se 1.72
O13 0.5411 0.0813 0.7371  1 V 1.67
K1 0.6667 0.3333 0.0865  6 O 2.78-3.08
O14 0.8041 0.5887 0.5520  1 Se 1.72
O15 0.8648 0.1199 0.8705  1 Se 1.73, 1 V 1.90
O16 0.0813 0.5402 0.2371  1 V 1.67
Se4 0.6667 0.3333 0.4892  3 O 1.72
O17 0.5402 0.4589 0.7371  1 V 1.67
O18 0.4589 0.9187 0.2371  1 V 1.67
O19 0.2551 0.1352 0.8705  1 Se 1.73, 1 V 1.90
O20 0.1262 0.8756 0.6832  1 V 1.67
V6 0.3332 0.1249 0.7144  2 O 1.67
O21 0.4113 0.2155 0.5520  1 Se 1.72
K2 0.3333 0.6667 0.5865  6 O 2.78-3.08
O22 0.4598 0.5411 0.2371  1 V 1.67
O23 0.1244 0.2506 0.6832  1 V 1.67
O24 0.1199 0.2551 0.3705  1 Se 1.73, 1 V 1.90

Computed properties:
* calculated volume: 500 Å³/cell
* formation energy from raw total energies: -1.81 eV/atom
* spin magnetization: 0.000 μB per atom
* DOS(E_F): 0.00 states/eV/cell
* mass density: 3.6 g cm⁻³
* final energy: -7.40 eV/atom

***

Compound: Pr3Ni3Bi4
Source: Alexandria
Functional: PBEsol
Structure: relaxed

a = 8.4460 Å, b = 8.4460 Å, c = 8.4460 Å
α = 109.47°, β = 109.47°, γ = 109.47°
With the nearest neighbours (Å) after each atom.
Fractional coordinates of all 20 atoms:
Pr1 0.2500 0.8750 0.6250  4 Ni 2.99, 4 Bi 3.31
Ni1 0.8750 0.7500 0.6250  4 Bi 2.70, 4 Pr 2.99
Ni2 0.1250 0.8750 0.2500  4 Bi 2.70, 4 Pr 2.99
Bi1 0.5000 0.6548 0.5000  3 Ni 2.70
Bi2 0.8452 0.8452 0.3452  3 Ni 2.70
Bi3 0.5000 0.1548 0.5000  3 Ni 2.70
Bi4 0.0000 0.5000 0.1548  3 Ni 2.70
Bi5 0.0000 0.5000 0.6548  3 Ni 2.70
Bi6 0.6548 0.0000 0.0000  3 Ni 2.70
Pr2 0.1250 0.2500 0.3750  4 Ni 2.99, 4 Bi 3.31
Ni3 0.7500 0.1250 0.3750  4 Bi 2.70, 4 Pr 2.99
Pr3 0.6250 0.3750 0.2500  4 Ni 2.99, 4 Bi 3.31
Ni4 0.2500 0.3750 0.1250  4 Bi 2.70, 4 Pr 2.99
Bi7 0.3452 0.3452 0.8452  3 Ni 2.70
Pr4 0.3750 0.7500 0.1250  4 Ni 2.99, 4 Bi 3.31
Bi8 0.1548 0.0000 0.0000  3 Ni 2.70
Pr5 0.7500 0.6250 0.8750  4 Ni 2.99, 4 Bi 3.31
Ni5 0.3750 0.6250 0.7500  4 Bi 2.70, 4 Pr 2.99
Ni6 0.6250 0.2500 0.8750  4 Bi 2.70, 4 Pr 2.99
Pr6 0.8750 0.1250 0.7500  4 Ni 2.99, 4 Bi 3.31

Computed properties:
* calculated volume: 464 Å³/cell
* spin magnetization: 0.000 μB per atom
* DOS(E_F): 18.11 states/eV/cell
* mass density: 10.3 g cm⁻³
* final energy: -5.74 eV/atom
* formation enthalpy at 0 K: -60.4 kJ per mole of atoms

***

Compound: TlFeSi2
Source: Alexandria
Functional: PBEsol
Structure: relaxed

a = 4.5156 Å, b = 4.5156 Å, c = 4.5156 Å
α = 60.00°, β = 60.00°, γ = 60.00°
With the nearest neighbours (Å) after each atom.
Fractional coordinates of all 4 atoms:
Si1 0.0000 0.0000 0.0000  4 Tl 2.77, 4 Si 2.77
Si2 0.7500 0.7500 0.7500  4 Si 2.77, 4 Fe 2.77
Fe1 0.5000 0.5000 0.5000  4 Si 2.77, 4 Tl 2.77
Tl1 0.2500 0.2500 0.2500  4 Fe 2.77, 4 Si 2.77

Computed properties:
* calculated volume: 65 Å³/cell
* formation energy from raw total energies: 0.76 eV/atom
* spin magnetization: 0.487 μB per atom
* DOS(E_F): 4.44 states/eV/cell
* mass density: 8.1 g cm⁻³
* final energy: -5.01 eV/atom

***

Compound: BeCr4Si
Source: Alexandria
Functional: PBEsol
Structure: relaxed

a = 4.6047 Å, b = 4.6047 Å, c = 4.6047 Å
α = 60.00°, β = 60.00°, γ = 60.00°
With the nearest neighbours (Å) after each atom.
Fractional coordinates of all 6 atoms:
Cr1 0.6260 0.1219 0.6260  6 Cr 2.28-2.32
Be1 0.0000 0.0000 0.0000  12 Cr 2.70, 4 Si 2.82
Cr2 0.6260 0.6260 0.6260  6 Cr 2.28-2.32
Cr3 0.1219 0.6260 0.6260  6 Cr 2.28-2.32
Cr4 0.6260 0.6260 0.1219  6 Cr 2.28-2.32
Si1 0.2500 0.2500 0.2500  12 Cr 2.70, 4 Be 2.82

Computed properties:
* calculated volume: 69 Å³/cell
* formation energy from raw total energies: 0.32 eV/atom
* spin magnetization: 0.000 μB per atom
* DOS(E_F): 4.80 states/eV/cell
* mass density: 5.9 g cm⁻³
* final energy: -8.14 eV/atom

***

What is the DOS(E_F) in the fifth record? 4.44 states/eV/cell

***

What did the fifth record say?
Compound: TlFeSi2
Source: Alexandria
Functional: PBEsol
Structure: relaxed

a = 4.5156 Å, b = 4.5156 Å, c = 4.5156 Å
α = 60.00°, β = 60.00°, γ = 60.00°
With the nearest neighbours (Å) after each atom.
Fractional coordinates of all 4 atoms:
Si1 0.0000 0.0000 0.0000  4 Tl 2.77, 4 Si 2.77
Si2 0.7500 0.7500 0.7500  4 Si 2.77, 4 Fe 2.77
Fe1 0.5000 0.5000 0.5000  4 Si 2.77, 4 Tl 2.77
Tl1 0.2500 0.2500 0.2500  4 Fe 2.77, 4 Si 2.77

Computed properties:
* calculated volume: 65 Å³/cell
* formation energy from raw total energies: 0.76 eV/atom
* spin magnetization: 0.487 μB per atom
* DOS(E_F): 4.44 states/eV/cell
* mass density: 8.1 g cm⁻³
* final energy: -5.01 eV/atom